Entry 1:
# K2LiTlCr

An optimized crystal structure of K2LiTlCr (GGA-PBE, Alexandria).

Calculated volume = 40.6 Å³ per atom
VASP energy = -2.53 eV/atom
DFT formation energy = 0.69 eV per atom

Cell: 6.260 6.260 5.183 Å, 90.00 90.00 90.00°
Space group P4/mmm (No. 123)
One atom of each set of equivalent atoms:
K: 0.000 0.500 0.000 [2 per cell]
Li: 0.000 0.000 0.000 [1 per cell]
Tl: 0.500 0.500 0.500 [1 per cell]
Cr: 0.000 0.000 0.500 [1 per cell]

---

Entry 2:
# ScPtSe3

An optimized crystal structure of ScPtSe3 (GGA-PBE, Alexandria).

Calculated volume = 24.2 Å³ per atom
VASP energy = -4.69 eV/atom
Offset from the most stable computed form = 0 meV/atom
ΔE_f (raw) = -0.13 eV/atom

Cell: 4.944 4.944 4.944 Å, 90.00 90.00 90.00°
Space group Pm-3m (No. 221)
One atom of each set of equivalent atoms:
Sc: 0.000 0.000 0.000 [1 per cell]
Pt: 0.500 0.500 0.500 [1 per cell]
Se: 0.000 0.500 0.500 [3 per cell]

---

Entry 3:
# LiAl4Zn

An optimized crystal structure of LiAl4Zn (GGA-PBE, Alexandria).

Calculated volume = 16.8 Å³ per atom
VASP energy = -3.01 eV/atom
Offset from the most stable computed form = 61 meV/atom
DFT formation energy = 0.02 eV per atom

Cell: 3.510 3.510 8.163 Å, 90.00 90.00 90.00°
Space group P4/mmm (No. 123)
One atom of each set of equivalent atoms:
Li: 0.000 0.000 0.000 [1 per cell]
Al: 0.000 0.000 0.336 [2 per cell]
Al: 0.500 0.500 0.172 [2 per cell]
Zn: 0.500 0.500 0.500 [1 per cell]

---

Question: What is the VASP energy in the first record?
Answer: -2.53 eV/atom